Entry A
HgAu4 | meta-GGA SCAN | PBEsol geometry

Properties
As for the calculated volume: 89 Å³/cell. The density comes out at 18.51 g/cm³. For the total magnetization, the calculation gives 0.000 μB/atom.

a b c (Å): 11.7526 11.7526 11.7526
angles (deg): 14.51 14.51 14.51
With the nearest neighbours (Å) after each atom.
Positions (direct):
Hg (0.0000, 0.0000, 0.0000)  6 Au 2.96, 6 Hg 2.97
Au (0.1990, 0.1990, 0.1990)  12 Au 2.83-2.97
Au (0.4026, 0.4026, 0.4026)  9 Au 2.85-2.97, 3 Hg 2.96
Au (0.5974, 0.5974, 0.5974)  9 Au 2.85-2.97, 3 Hg 2.96
Au (0.8010, 0.8010, 0.8010)  12 Au 2.83-2.97

=====

Entry B
HgAu4 | meta-GGA SCAN | PBEsol geometry

Properties
As for the calculated volume: 88 Å³/cell. The density comes out at 18.64 g/cm³. For the total magnetization, the calculation gives 0.000 μB/atom.

a b c (Å): 5.0371 5.0371 5.0371
angles (deg): 100.02 100.02 130.70
With the nearest neighbours (Å) after each atom.
Positions (direct):
Hg (0.0000, 0.0000, 0.0000)  12 Au 2.90-2.94
Au (0.1979, 0.4019, 0.5998)  9 Au 2.86-2.96, 3 Hg 2.90-2.94
Au (0.4019, 0.8021, 0.2040)  9 Au 2.86-2.96, 3 Hg 2.90-2.94
Au (0.5981, 0.1979, 0.7960)  9 Au 2.86-2.96, 3 Hg 2.90-2.94
Au (0.8021, 0.5981, 0.4002)  9 Au 2.86-2.96, 3 Hg 2.90-2.94

=====

The most stable of them is entry B.

=====

Entry A
Hg2IrAu | meta-GGA SCAN | PBEsol geometry

Properties
As for the calculated volume: 71 Å³/cell. The density comes out at 18.49 g/cm³. For the total magnetization, the calculation gives 0.000 μB/atom.

a b c (Å): 2.9720 4.1218 5.7929
angles (deg): 90.00 90.00 90.00
With the nearest neighbours (Å) after each atom.
Positions (direct):
Hg (0.0000, 0.0000, 0.0000)  2 Ir 2.86-2.94, 4 Au 2.89, 6 Hg 2.97-3.04
Hg (0.5000, 0.5000, 0.2873)  2 Au 2.74-3.05, 4 Ir 2.84, 6 Hg 2.97-3.04
Ir (0.0000, 0.0000, 0.5071)  6 Hg 2.84-2.94, 4 Au 2.93, 2 Ir 2.97
Au (0.5000, 0.5000, 0.7606)  6 Hg 2.74-3.05, 4 Ir 2.93, 2 Au 2.97

=====

Entry B
Hg2IrAu | meta-GGA SCAN | PBEsol geometry

Properties
As for the calculated volume: 71 Å³/cell. The density comes out at 18.61 g/cm³. For the total magnetization, the calculation gives 0.000 μB/atom.

a b c (Å): 4.6375 4.6375 4.6375
angles (deg): 60.00 60.00 60.00
With the nearest neighbours (Å) after each atom.
Positions (direct):
Hg (0.2500, 0.2500, 0.2500)  4 Ir 2.84, 4 Au 2.84
Hg (0.7500, 0.7500, 0.7500)  4 Ir 2.84, 4 Au 2.84
Ir (0.0000, 0.0000, 0.0000)  8 Hg 2.84
Au (0.5000, 0.5000, 0.5000)  8 Hg 2.84

=====

Entry C
Hg2IrAu | meta-GGA SCAN | PBEsol geometry

Properties
As for the calculated volume: 71 Å³/cell. The density comes out at 18.47 g/cm³. For the total magnetization, the calculation gives 0.000 μB/atom.

a b c (Å): 5.5751 5.5751 5.5751
angles (deg): 148.48 127.62 62.42
With the nearest neighbours (Å) after each atom.
Positions (direct):
Hg (0.2433, 0.2433, 0.0000)  2 Ir 2.77, 2 Au 2.88, 6 Hg 2.89-3.03
Hg (0.7567, 0.7567, 0.0000)  2 Ir 2.77, 2 Au 2.88, 6 Hg 2.89-3.03
Ir (0.0000, 0.5000, 0.5000)  4 Hg 2.77, 4 Au 2.89, 2 Ir 3.03
Au (0.5000, 0.0000, 0.5000)  4 Hg 2.88, 4 Ir 2.89, 2 Au 3.03

=====

The most stable of them is entry C.

=====

Entry A
MgHgAu | meta-GGA SCAN | PBEsol geometry

Properties
As for the calculated volume: 66 Å³/cell. The density comes out at 10.54 g/cm³. For the total magnetization, the calculation gives 0.000 μB/atom.

a b c (Å): 4.5464 4.5464 4.5464
angles (deg): 60.00 60.00 60.00
With the nearest neighbours (Å) after each atom.
Positions (direct):
Mg (0.0000, 0.0000, 0.0000)  4 Au 2.78
Hg (0.5000, 0.5000, 0.5000)  4 Au 2.78
Au (0.7500, 0.7500, 0.7500)  4 Hg 2.78, 4 Mg 2.78

=====

Entry B
MgHgAu | meta-GGA SCAN | PBEsol geometry

Properties
As for the calculated volume: 56 Å³/cell. The density comes out at 12.57 g/cm³. For the total magnetization, the calculation gives 0.000 μB/atom.

a b c (Å): 5.1099 5.1099 5.1099
angles (deg): 139.51 139.51 58.59
With the nearest neighbours (Å) after each atom.
Positions (direct):
Mg (0.0000, 0.0000, 0.0000)  5 Au 2.84-3.11, 5 Hg 2.92-2.94
Hg (0.6726, 0.6726, 0.0000)  5 Au 2.89-2.95, 5 Mg 2.92-2.94
Au (0.3484, 0.3484, 0.0000)  5 Mg 2.84-3.11, 5 Hg 2.89-2.95

=====

The most stable of them is entry B.

=====

Entry A
MnHgAu | meta-GGA SCAN | PBEsol geometry

Properties
As for the calculated volume: 52 Å³/cell. The density comes out at 14.46 g/cm³. For the total magnetization, the calculation gives 1.422 μB/atom.

a b c (Å): 4.5886 4.5886 2.8500
angles (deg): 90.00 90.00 120.00
With the nearest neighbours (Å) after each atom.
Positions (direct):
Mn (0.0000, 0.0000, 0.0000)  3 Au 2.84, 2 Mn 2.85, 6 Hg 2.88-3.16
Hg (0.6667, 0.3333, 0.6024)  3 Au 2.74, 2 Hg 2.85, 3 Mn 2.88
Au (0.3333, 0.6667, 0.3637)  3 Hg 2.74, 3 Mn 2.84, 2 Au 2.85

=====

Entry B
MnHgAu | meta-GGA SCAN | PBEsol geometry

Properties
As for the calculated volume: 52 Å³/cell. The density comes out at 14.58 g/cm³. For the total magnetization, the calculation gives 1.396 μB/atom.

a b c (Å): 5.9124 5.9124 5.9124
angles (deg): 149.99 149.99 42.95
With the nearest neighbours (Å) after each atom.
Positions (direct):
Mn (0.0000, 0.0000, 0.0000)  4 Au 2.70, 4 Hg 2.84
Hg (0.3330, 0.3330, 0.0000)  4 Mn 2.84, 4 Au 2.98, 4 Hg 3.06
Au (0.6465, 0.6465, 0.0000)  4 Mn 2.70, 4 Hg 2.98

=====

The most stable of them is entry B.

=====

Entry A
Hg2OsAu | meta-GGA SCAN | PBEsol geometry

Properties
As for the calculated volume: 72 Å³/cell. The density comes out at 18.12 g/cm³. For the total magnetization, the calculation gives 0.207 μB/atom.

a b c (Å): 2.8961 2.8961 10.1203
angles (deg): 90.00 90.00 121.66
With the nearest neighbours (Å) after each atom.
Positions (direct):
Hg (0.0000, 0.0000, 0.0000)  8 Hg 2.82-3.12, 2 Au 2.94
Hg (0.5000, 0.5000, 0.2750)  2 Os 2.82, 8 Hg 2.82-3.12
Os (0.0000, 0.0000, 0.5161)  2 Au 2.72, 2 Hg 2.82, 6 Os 2.82-2.90
Au (0.5000, 0.5000, 0.7454)  2 Os 2.72, 6 Au 2.82-2.90, 2 Hg 2.94

=====

Entry B
Hg2OsAu | meta-GGA SCAN | PBEsol geometry

Properties
As for the calculated volume: 70 Å³/cell. The density comes out at 18.65 g/cm³. For the total magnetization, the calculation gives 0.003 μB/atom.

a b c (Å): 4.9612 4.9612 4.9612
angles (deg): 129.86 129.86 73.63
With the nearest neighbours (Å) after each atom.
Positions (direct):
Hg (0.2500, 0.7500, 0.5000)  4 Os 2.89, 4 Au 2.89, 4 Hg 2.97
Hg (0.7500, 0.2500, 0.5000)  4 Os 2.89, 4 Au 2.89, 4 Hg 2.97
Os (0.0000, 0.0000, 0.0000)  8 Hg 2.89, 4 Au 2.97
Au (0.5000, 0.5000, 0.0000)  8 Hg 2.89, 4 Os 2.97

=====

The most stable of them is entry A.

=====

Entry A
Hg2PbAu2 | meta-GGA SCAN | PBEsol geometry

Properties
As for the calculated volume: 113 Å³/cell. The density comes out at 14.76 g/cm³. For the total magnetization, the calculation gives 0.000 μB/atom.

a b c (Å): 7.2907 7.2907 7.2907
angles (deg): 147.29 147.29 46.94
With the nearest neighbours (Å) after each atom.
Positions (direct):
Hg (0.2500, 0.7500, 0.5000)  4 Au 2.88, 4 Hg 2.90
Hg (0.7500, 0.2500, 0.5000)  4 Au 2.88, 4 Hg 2.90
Pb (0.0000, 0.0000, 0.0000)  8 Au 3.19
Au (0.4007, 0.4007, 0.0000)  1 Au 2.66, 4 Hg 2.88
Au (0.5993, 0.5993, 0.0000)  1 Au 2.66, 4 Hg 2.88

=====

Entry B
Hg2PbAu2 | meta-GGA SCAN | PBEsol geometry

Properties
As for the calculated volume: 112 Å³/cell. The density comes out at 14.83 g/cm³. For the total magnetization, the calculation gives 0.000 μB/atom.

a b c (Å): 7.7949 7.7949 7.7949
angles (deg): 150.83 150.83 41.73
With the nearest neighbours (Å) after each atom.
Positions (direct):
Hg (0.1053, 0.1053, 0.0000)  4 Au 2.88, 1 Hg 3.07, 4 Pb 3.17
Hg (0.8947, 0.8947, 0.0000)  4 Au 2.88, 1 Hg 3.07, 4 Pb 3.17
Pb (0.5000, 0.5000, 0.0000)  8 Hg 3.17
Au (0.2500, 0.7500, 0.5000)  4 Au 2.78, 4 Hg 2.88
Au (0.7500, 0.2500, 0.5000)  4 Au 2.78, 4 Hg 2.88

=====

The most stable of them is entry A.

=====

Entry A
ReHg2Au | meta-GGA SCAN | PBEsol geometry

Properties
As for the calculated volume: 72 Å³/cell. The density comes out at 18.02 g/cm³. For the total magnetization, the calculation gives 0.259 μB/atom.

a b c (Å): 2.8209 4.9713 5.1552
angles (deg): 90.00 90.00 90.00
With the nearest neighbours (Å) after each atom.
Positions (direct):
Re (0.0000, 0.0000, 0.0000)  2 Re 2.82, 4 Hg 2.86, 4 Au 2.94
Hg (0.0000, 0.5000, 0.5000)  6 Hg 2.82-2.94, 4 Au 2.86
Hg (0.5000, 0.5000, 0.0000)  6 Hg 2.82-2.94, 4 Re 2.86
Au (0.5000, 0.0000, 0.5000)  2 Au 2.82, 4 Hg 2.86, 4 Re 2.94

=====

Entry B
ReHg2Au | meta-GGA SCAN | PBEsol geometry

Properties
As for the calculated volume: 70 Å³/cell. The density comes out at 18.49 g/cm³. For the total magnetization, the calculation gives 0.170 μB/atom.

a b c (Å): 4.1978 4.1978 3.9979
angles (deg): 90.00 90.00 90.00
With the nearest neighbours (Å) after each atom.
Positions (direct):
Re (0.0000, 0.0000, 0.0000)  8 Hg 2.90, 4 Au 2.97
Hg (0.0000, 0.5000, 0.5000)  4 Re 2.90, 4 Au 2.90, 4 Hg 2.97
Hg (0.5000, 0.0000, 0.5000)  4 Re 2.90, 4 Au 2.90, 4 Hg 2.97
Au (0.5000, 0.5000, 0.0000)  8 Hg 2.90, 4 Re 2.97

=====

The most stable of them is entry A.